{
  "formula": "Be2POs",
  "functional": "PBE-GGA",
  "state": "relaxed",
  "formation_energy_kj_per_mol_fu": -24,
  "space_group": "Pmm2, No. 25",
  "lattice": [[2.995, 0.000, 0.000], [0.000, 3.575, 0.000], [0.000, 0.000, 3.994]],
  "species": ["Be", "Be", "P", "Os"],
  "fractional_positions": [[0.000, 0.000, 0.000], [0.000, 0.500, 0.332], [0.500, 0.000, 0.411], [0.500, 0.500, 0.815]]
}